Model w:
Material: AcAg2F8
Method: DFT, PBE
State: relaxed

Calculated values
spin magnetization	1.0	μB per cell
density	5.02	g/cm3

The structure in POSCAR format:
```
AcAg2F8
1.0
-2.920 2.920 5.771
2.920 -2.920 5.771
2.920 2.920 -5.771
Ac Ag F
1 2 8
direct
0.000 0.000 0.000
0.250 0.750 0.500
0.750 0.250 0.500
0.037 0.562 0.854
0.183 0.037 0.474
0.292 0.438 0.474
0.438 0.963 0.146
0.562 0.708 0.526
0.708 0.183 0.146
0.817 0.292 0.854
0.963 0.817 0.526
```

***

Model x:
Material: AcAg2F8
Method: DFT, PBE
State: relaxed

Calculated values
spin magnetization	3.0	μB per cell
density	5.60	g/cm3

The structure in POSCAR format:
```
AcAg2F8
1.0
5.473 0.000 0.000
0.000 5.473 0.000
0.000 0.000 5.883
Ac Ag F
1 2 8
direct
0.000 0.000 0.000
0.000 0.500 0.500
0.500 0.000 0.500
0.246 0.246 0.279
0.246 0.246 0.721
0.246 0.754 0.279
0.246 0.754 0.721
0.754 0.246 0.279
0.754 0.246 0.721
0.754 0.754 0.279
0.754 0.754 0.721
```

***

Energetically preferred structure: model w | next structure: +163 meV per atom